PrDyCdHg | PBE | optimized geometry

Properties
mass density	9.3	g cm⁻³
uncorrected energy	-12.1	eV for the cell shown
size of the total moment	0.81	μB/cell
E_form	-0.3829	eV/atom
excess energy over the best structure of this formula in the dataset	1.22	kJ/mol of atoms

Cell: 5.380 5.380 5.380 Å, 60.00 60.00 60.00°
Each line ends with the local moment (μB).
Element x y z (fractional)
Pr 0.000 0.000 0.000  0.19
Cd 0.750 0.750 0.750  0.01
Hg 0.250 0.250 0.250  0.02
Dy 0.500 0.500 0.500  0.26